CaEuAgBi | PBE | optimized geometry

Output
- symmetry = F-43m, No. 216
- energy of formation from the pure elements (eV/atom) = -0.621
- total energy (eV/atom) = -5.373
- crystal system = cubic

a b c (Å): 5.5042 5.5042 5.5042
angles (deg): 60.00 60.00 60.00
With the nearest neighbours (Å) after each atom.
Element x y z (fractional)
Ca 0.0000 0.0000 0.0000  4 Ag 3.37, 4 Bi 3.37
Eu 0.5000 0.5000 0.5000  4 Ag 3.37, 4 Bi 3.37
Ag 0.7500 0.7500 0.7500  4 Ca 3.37, 4 Eu 3.37
Bi 0.2500 0.2500 0.2500  4 Ca 3.37, 4 Eu 3.37

---

Cu2Ge2Te | PBE | optimized geometry

Output
- energy relative to the lowest polymorph listed for this composition (meV/atom) = 0
- symmetry = I4/mmm, No. 139
- total energy (eV/atom) = -3.919
- energy relative to the elements, uncorrected (eV per atom) = 0.194
- crystal system = tetragonal

a b c (Å): 6.4509 6.4509 6.4509
angles (deg): 144.22 144.22 51.49
With the nearest neighbours (Å) after each atom.
Element x y z (fractional)
Cu 0.1065 0.1065 0.0000  1 Cu 2.48, 4 Ge 2.59
Cu 0.8935 0.8935 0.0000  1 Cu 2.48, 4 Ge 2.59
Ge 0.2500 0.7500 0.5000  4 Cu 2.59, 4 Ge 2.80
Ge 0.7500 0.2500 0.5000  4 Cu 2.59, 4 Ge 2.80
Te 0.5000 0.5000 0.0000  8 Cu 3.06

---

SrGe3Mo | PBE | optimized geometry

Output
- energy relative to the lowest polymorph listed for this composition (meV/atom) = 0
- symmetry = Pm-3m, No. 221
- energy of formation from the pure elements (eV/atom) = -0.119
- total energy (eV/atom) = -5.392
- crystal system = cubic

a b c (Å): 4.9432 4.9432 4.9432
angles (deg): 90.00 90.00 90.00
With the nearest neighbours (Å) after each atom.
Element x y z (fractional)
Sr 0.0000 0.0000 0.0000  12 Ge 3.50
Ge 0.0000 0.5000 0.5000  2 Mo 2.47
Ge 0.5000 0.0000 0.5000  2 Mo 2.47
Ge 0.5000 0.5000 0.0000  2 Mo 2.47
Mo 0.5000 0.5000 0.5000  6 Ge 2.47

---

TiCuN3 | PBE | optimized geometry

Output
- symmetry = Pm-3m, No. 221
- total energy (eV/atom) = -6.251
- energy relative to the elements, uncorrected (eV per atom) = 1.143
- crystal system = cubic

a b c (Å): 3.6539 3.6539 3.6539
angles (deg): 90.00 90.00 90.00
With the nearest neighbours (Å) after each atom.
Element x y z (fractional)
Ti 0.0000 0.0000 0.0000  12 N 2.58
Cu 0.5000 0.5000 0.5000  6 N 1.83
N 0.0000 0.5000 0.5000  2 Cu 1.83
N 0.5000 0.0000 0.5000  2 Cu 1.83
N 0.5000 0.5000 0.0000  2 Cu 1.83

---

CaAgAs | PBE | optimized geometry

Output
- symmetry = P1, No. 1
- energy of formation from the pure elements (eV/atom) = -0.646
- total energy (eV/atom) = -3.813
- crystal system = triclinic

a b c (Å): 4.2656 4.2660 8.4241
angles (deg): 104.34 104.49 90.01
With the nearest neighbours (Å) after each atom.
Element x y z (fractional)
Ca 0.0000 0.0000 0.0000  6 As 3.23-3.52, 6 Ag 3.30-3.36
Ca 0.2518 0.7462 0.4998  6 As 3.23-3.50, 6 Ag 3.30-3.37
Ag 0.4154 0.4139 0.8279  3 As 2.55
Ag 0.6658 0.1634 0.3280  3 As 2.55
As 0.5719 0.5766 0.1513  3 Ag 2.55
As 0.8279 0.3150 0.6513  3 Ag 2.55

---

Ce3SmTm2As6 | PBE | optimized geometry

Output
- symmetry = C2/m, No. 12
- energy of formation from the pure elements (eV/atom) = -1.465
- total energy (eV/atom) = -6.412
- crystal system = monoclinic

a b c (Å): 7.2213 7.2213 7.2047
angles (deg): 99.63 99.63 120.00
With the nearest neighbours (Å) after each atom.
Element x y z (fractional)
Ce 0.0000 0.0000 0.0000  6 As 2.94-2.98
Ce 0.3347 0.6653 0.0000  6 As 2.94-2.98
Ce 0.6653 0.3347 0.0000  6 As 2.94-2.98
Sm 0.5000 0.5000 0.5000  6 As 2.96
Tm 0.1671 0.8329 0.5000  6 As 2.91
Tm 0.8329 0.1671 0.5000  6 As 2.91
As 0.0793 0.4180 0.2542  2 Tm 2.91, 3 Ce 2.94-2.98, 1 Sm 2.96
As 0.2425 0.2425 0.7442  2 Tm 2.91, 3 Ce 2.94-2.97, 1 Sm 2.96
As 0.4180 0.0793 0.2542  2 Tm 2.91, 3 Ce 2.94-2.98, 1 Sm 2.96
As 0.5820 0.9207 0.7458  2 Tm 2.91, 3 Ce 2.94-2.98, 1 Sm 2.96
As 0.7575 0.7575 0.2558  2 Tm 2.91, 3 Ce 2.94-2.97, 1 Sm 2.96
As 0.9207 0.5820 0.7458  2 Tm 2.91, 3 Ce 2.94-2.98, 1 Sm 2.96

---

Ce2MnBr | PBE | optimized geometry

Output
- symmetry = R-3m, No. 166
- total energy (eV/atom) = -6.139
- energy relative to the elements, uncorrected (eV per atom) = -0.461
- crystal system = trigonal

a b c (Å): 7.9687 7.9687 7.9687
angles (deg): 28.25 28.25 28.25
With the nearest neighbours (Å) after each atom.
Element x y z (fractional)
Ce 0.2293 0.2293 0.2293  3 Mn 2.67
Ce 0.7707 0.7707 0.7707  3 Mn 2.67
Mn 0.5000 0.5000 0.5000  6 Ce 2.67
Br 0.0000 0.0000 0.0000  6 Ce 3.28

---

Hf12Al3Zn | PBE | optimized geometry

Output
- symmetry = P4/mmm, No. 123
- energy of formation from the pure elements (eV/atom) = -0.197
- total energy (eV/atom) = -8.444
- crystal system = tetragonal

a b c (Å): 4.3318 4.3318 17.3112
angles (deg): 90.00 90.00 90.00
With the nearest neighbours (Å) after each atom.
Element x y z (fractional)
Hf 0.0000 0.0000 0.0000  8 Hf 3.06, 4 Zn 3.06
Hf 0.0000 0.0000 0.2493  8 Hf 3.06-3.07, 4 Al 3.06
Hf 0.0000 0.0000 0.5000  4 Al 3.06, 8 Hf 3.06
Hf 0.0000 0.0000 0.7507  8 Hf 3.06-3.07, 4 Al 3.06
Hf 0.0000 0.5000 0.1247  2 Al 3.05, 8 Hf 3.06, 2 Zn 3.06
Hf 0.0000 0.5000 0.3748  8 Hf 3.06-3.07, 4 Al 3.06-3.08
Hf 0.0000 0.5000 0.6252  8 Hf 3.06-3.07, 4 Al 3.06-3.08
Hf 0.0000 0.5000 0.8753  2 Al 3.05, 8 Hf 3.06, 2 Zn 3.06
Hf 0.5000 0.0000 0.1247  2 Al 3.05, 8 Hf 3.06, 2 Zn 3.06
Hf 0.5000 0.0000 0.3748  8 Hf 3.06-3.07, 4 Al 3.06-3.08
Hf 0.5000 0.0000 0.6252  8 Hf 3.06-3.07, 4 Al 3.06-3.08
Hf 0.5000 0.0000 0.8753  2 Al 3.05, 8 Hf 3.06, 2 Zn 3.06
Al 0.5000 0.5000 0.2486  12 Hf 3.05-3.08
Al 0.5000 0.5000 0.5000  12 Hf 3.06
Al 0.5000 0.5000 0.7514  12 Hf 3.05-3.08
Zn 0.5000 0.5000 0.0000  12 Hf 3.06

---

BrO | PBE | optimized geometry

Output
- energy relative to the lowest polymorph listed for this composition (meV/atom) = 0
- symmetry = P-1, No. 2
- total energy (eV/atom) = -3.173
- energy relative to the elements, uncorrected (eV per atom) = 0.143
- crystal system = triclinic

a b c (Å): 4.5600 7.0996 7.8900
angles (deg): 74.67 82.75 71.61
With the nearest neighbours (Å) after each atom.
Element x y z (fractional)
Br 0.0197 0.3112 0.0787  1 O 2.32
Br 0.3573 0.5271 0.6336  1 Br 2.39
Br 0.6427 0.4729 0.3664  1 Br 2.39
Br 0.9803 0.6888 0.9213  1 O 2.32
O 0.0192 0.9926 0.7329  1 O 1.25
O 0.1487 0.9834 0.5853  1 O 1.25
O 0.8513 0.0166 0.4147  1 O 1.25
O 0.9808 0.0074 0.2671  1 O 1.25

---

KSe2N2 | PBE | optimized geometry

Output
- energy relative to the lowest polymorph listed for this composition (meV/atom) = 323
- symmetry = I4/mmm, No. 139
- total energy (eV/atom) = -4.236
- energy relative to the elements, uncorrected (eV per atom) = 0.708
- crystal system = tetragonal

a b c (Å): 6.1004 6.1004 6.1004
angles (deg): 139.43 139.43 58.73
With the nearest neighbours (Å) after each atom.
Element x y z (fractional)
K 0.0000 0.0000 0.0000  2 Se 3.18, 8 N 3.40
Se 0.2992 0.2992 0.0000  4 N 2.18
Se 0.7008 0.7008 0.0000  4 N 2.18
N 0.2500 0.7500 0.5000  4 Se 2.18
N 0.7500 0.2500 0.5000  4 Se 2.18

---

Copy entry 10 word for word.
KSe2N2 | PBE | optimized geometry

Output
- energy relative to the lowest polymorph listed for this composition (meV/atom) = 323
- symmetry = I4/mmm, No. 139
- total energy (eV/atom) = -4.236
- energy relative to the elements, uncorrected (eV per atom) = 0.708
- crystal system = tetragonal

a b c (Å): 6.1004 6.1004 6.1004
angles (deg): 139.43 139.43 58.73
With the nearest neighbours (Å) after each atom.
Element x y z (fractional)
K 0.0000 0.0000 0.0000  2 Se 3.18, 8 N 3.40
Se 0.2992 0.2992 0.0000  4 N 2.18
Se 0.7008 0.7008 0.0000  4 N 2.18
N 0.2500 0.7500 0.5000  4 Se 2.18
N 0.7500 0.2500 0.5000  4 Se 2.18